First-principles (GGA-PBE) data for crystalline PrSm2In at its relaxed geometry, as listed in Alexandria via LeMat-Bulk.

VASP energy	-4.510	eV/atom
magnetization	0.0	μB per cell
calculated formation energy	-1.08	eV/f.u.
theoretical density	7.5	g cm⁻³
energy above the most stable polymorph in this dataset	0.000	eV/atom

Unit cell a=4.931 b=4.982 c=4.982 alpha=90.00 beta=90.00 gamma=90.00
Sites, in units of the cell vectors:
Sm: 0.000 0.500 0.000
Pr: 0.500 0.000 0.000
In: 0.500 0.500 0.500
Sm: 0.000 0.000 0.500



First-principles (GGA-PBE) data for crystalline Pr2Sm2In at its relaxed geometry, as listed in Alexandria via LeMat-Bulk.

VASP energy	-4.507	eV/atom
magnetization	0.0	μB per cell
calculated formation energy	-0.80	eV/f.u.
theoretical density	7.1	g cm⁻³

Unit cell a=5.600 b=6.814 c=9.710 alpha=103.74 beta=90.00 gamma=114.26
Sites, in units of the cell vectors:
In: 0.252 0.505 0.743
Sm: 0.655 0.311 0.553
Sm: 0.476 0.953 0.158
Pr: 0.023 0.046 0.340
In: 0.748 0.495 0.257
Pr: 0.977 0.954 0.660
Pr: 0.840 0.681 0.948
Sm: 0.345 0.689 0.447
Sm: 0.524 0.047 0.842
Pr: 0.160 0.319 0.052



First-principles (GGA-PBE) data for crystalline Pr3Sm2In at its relaxed geometry, as listed in Alexandria via LeMat-Bulk.

VASP energy	-4.550	eV/atom
magnetization	0.0	μB per cell
calculated formation energy	-0.79	eV/f.u.
theoretical density	7.0	g cm⁻³
energy above the most stable polymorph in this dataset	0.021	eV/atom

Unit cell a=3.775 b=8.976 c=11.745 alpha=90.15 beta=90.00 gamma=90.00
Sites, in units of the cell vectors:
Sm: 0.250 0.356 0.429
Sm: 0.750 0.644 0.571
Pr: 0.250 0.397 0.750
Pr: 0.750 0.603 0.250
Pr: 0.250 0.905 0.397
In: 0.750 0.158 0.256
Pr: 0.750 0.653 0.929
Pr: 0.750 0.095 0.603
Pr: 0.250 0.347 0.071
In: 0.250 0.842 0.744
Sm: 0.750 0.087 0.893
Sm: 0.250 0.913 0.107



First-principles (GGA-PBE) data for crystalline PrSmIn4 at its relaxed geometry, as listed in Alexandria via LeMat-Bulk.

VASP energy	-3.829	eV/atom
magnetization	0.0	μB per cell
calculated formation energy	-2.52	eV/f.u.
theoretical density	7.8	g cm⁻³
energy above the most stable polymorph in this dataset	0.048	eV/atom

Unit cell a=6.083 b=6.083 c=6.083 alpha=60.00 beta=60.00 gamma=60.00
Sites, in units of the cell vectors:
In: 0.625 0.625 0.125
In: 0.125 0.625 0.625
In: 0.625 0.125 0.625
In: 0.625 0.625 0.625
Sm: 0.000 0.000 0.000
Pr: 0.250 0.250 0.250



First-principles (GGA-PBE) data for crystalline Pr8SmIn6 at its relaxed geometry, as listed in Alexandria via LeMat-Bulk.

VASP energy	-4.210	eV/atom
magnetization	0.0	μB per cell
calculated formation energy	-3.76	eV/f.u.
theoretical density	6.5	g cm⁻³

Unit cell a=9.313 b=9.313 c=8.585 alpha=57.16 beta=57.16 gamma=60.00
Sites, in units of the cell vectors:
In: 0.276 0.617 0.160
In: 0.947 0.276 0.160
Pr: 0.334 0.334 0.998
Pr: 0.218 0.884 0.349
In: 0.724 0.383 0.840
Pr: 0.782 0.116 0.651
Pr: 0.884 0.549 0.349
Pr: 0.549 0.218 0.349
Pr: 0.451 0.782 0.651
In: 0.617 0.947 0.160
In: 0.053 0.724 0.840
Pr: 0.116 0.451 0.651
Pr: 0.666 0.666 0.002
In: 0.383 0.053 0.840
Sm: 0.000 0.000 0.000



First-principles (GGA-PBE) data for crystalline Pr2SmIn3 at its relaxed geometry, as listed in Alexandria via LeMat-Bulk.

VASP energy	-4.055	eV/atom
magnetization	0.0	μB per cell
calculated formation energy	-1.84	eV/f.u.
theoretical density	6.9	g cm⁻³
energy above the most stable polymorph in this dataset	0.188	eV/atom

Unit cell a=3.782 b=6.680 c=14.982 alpha=90.00 beta=97.25 gamma=90.00
Sites, in units of the cell vectors:
In: 0.256 0.250 0.513
In: 0.577 0.988 0.154
Pr: 0.006 0.250 0.012
In: 0.744 0.750 0.487
Pr: 0.994 0.750 0.988
In: 0.423 0.012 0.846
Sm: 0.331 0.750 0.661
In: 0.423 0.488 0.846
Sm: 0.669 0.250 0.339
In: 0.577 0.512 0.154
Pr: 0.848 0.250 0.695
Pr: 0.152 0.750 0.305



What did the fifth record say?
First-principles (GGA-PBE) data for crystalline Pr8SmIn6 at its relaxed geometry, as listed in Alexandria via LeMat-Bulk.

VASP energy	-4.210	eV/atom
magnetization	0.0	μB per cell
calculated formation energy	-3.76	eV/f.u.
theoretical density	6.5	g cm⁻³

Unit cell a=9.313 b=9.313 c=8.585 alpha=57.16 beta=57.16 gamma=60.00
Sites, in units of the cell vectors:
In: 0.276 0.617 0.160
In: 0.947 0.276 0.160
Pr: 0.334 0.334 0.998
Pr: 0.218 0.884 0.349
In: 0.724 0.383 0.840
Pr: 0.782 0.116 0.651
Pr: 0.884 0.549 0.349
Pr: 0.549 0.218 0.349
Pr: 0.451 0.782 0.651
In: 0.617 0.947 0.160
In: 0.053 0.724 0.840
Pr: 0.116 0.451 0.651
Pr: 0.666 0.666 0.002
In: 0.383 0.053 0.840
Sm: 0.000 0.000 0.000